No. 1
Entry from Alexandria: a geometry-optimized GaAgAu4 structure (PBE).

Computed properties:
- Distance to the lowest polymorph of the same formula: 1.2 kJ/mol of atoms
- Mass density: 14.819 g/cm3
- E_form: -0.056 eV/atom

Lattice parameters (Å, degrees): 5.433 5.433 11.345 121.18 121.18 94.34
Sites, in units of the cell vectors:
Ag1 0.875 0.125 0.750
Au1 0.840 0.187 0.016
Ag2 0.125 0.875 0.250
Au2 0.492 0.523 0.129
Au3 0.477 0.508 0.371
Ga1 0.787 0.213 0.250
Au4 0.187 0.840 0.516
Ga2 0.213 0.787 0.750
Au5 0.160 0.813 0.984
Au6 0.813 0.160 0.484
Au7 0.508 0.477 0.871
Au8 0.523 0.492 0.629

---

No. 2
Entry from Alexandria: a geometry-optimized GaAg2Au2 structure (PBE).

Computed properties:
- Distance to the lowest polymorph of the same formula: 20.9 kJ/mol of atoms
- Mass density: 10.873 g/cm3
- E_form: 0.134 eV/atom

Lattice parameters (Å, degrees): 3.839 3.839 7.545 75.26 75.26 90.00
Sites, in units of the cell vectors:
Ag1 0.596 0.596 0.808
Au1 0.250 0.750 0.500
Ag2 0.404 0.404 0.192
Au2 0.750 0.250 0.500
Ga1 0.000 0.000 0.000

---

No. 3
Entry from Alexandria: a geometry-optimized GaAg2Au6 structure (PBE).

Computed properties:
- Distance to the lowest polymorph of the same formula: 0.0 kJ/mol of atoms
- Mass density: 15.195 g/cm3
- E_form: -0.050 eV/atom

Lattice parameters (Å, degrees): 4.331 8.531 8.681 90.00 89.99 90.00
Sites, in units of the cell vectors:
Au1 0.500 0.857 0.357
Au2 0.000 0.017 0.171
Au3 0.500 0.171 0.983
Au4 0.500 0.517 0.329
Ga1 0.000 0.000 0.500
Ag1 0.000 0.312 0.812
Au5 0.500 0.143 0.643
Ag2 0.000 0.688 0.188
Au6 0.000 0.329 0.483
Au7 0.000 0.643 0.857
Ag3 0.500 0.812 0.688
Ga2 0.500 0.500 0.000
Au8 0.500 0.829 0.017
Au9 0.000 0.357 0.143
Au10 0.000 0.671 0.517
Ag4 0.500 0.188 0.312
Au11 0.500 0.483 0.671
Au12 0.000 0.983 0.829

---

No. 4
Entry from Alexandria: a geometry-optimized GaAg2Au2 structure (PBE).

Computed properties:
- Distance to the lowest polymorph of the same formula: 0.0 kJ/mol of atoms
- Mass density: 12.734 g/cm3
- E_form: -0.083 eV/atom

Lattice parameters (Å, degrees): 5.268 5.580 7.478 110.90 90.00 118.17
Sites, in units of the cell vectors:
Au1 0.165 0.623 0.855
Au2 0.541 0.377 0.645
Ag1 0.753 0.793 0.049
Ag2 0.959 0.207 0.451
Ag3 0.247 0.207 0.951
Ga1 0.348 0.000 0.250
Au3 0.835 0.377 0.145
Ag4 0.041 0.793 0.549
Ga2 0.652 0.000 0.750
Au4 0.459 0.623 0.355

---

No. 5
Entry from Alexandria: a geometry-optimized GaAgAu structure (PBE).

Computed properties:
- Distance to the lowest polymorph of the same formula: 14.4 kJ/mol of atoms
- Mass density: 9.740 g/cm3
- E_form: 0.042 eV/atom

Lattice parameters (Å, degrees): 7.700 8.823 5.796 139.56 90.00 90.00
Sites, in units of the cell vectors:
Au1 0.813 0.567 0.000
Ag1 0.000 0.187 0.373
Ga1 0.902 0.279 0.000
Ag2 0.500 0.687 0.373
Ga2 0.402 0.221 0.000
Au2 0.187 0.433 0.000
Au3 0.687 0.067 0.000
Ga3 0.598 0.779 0.000
Ag3 0.500 0.313 0.627
Ga4 0.098 0.721 0.000
Au4 0.313 0.933 0.000
Ag4 0.000 0.813 0.627

---

No. 6
Entry from Alexandria: a geometry-optimized GaAgAu4 structure (PBE).

Computed properties:
- Distance to the lowest polymorph of the same formula: 12.4 kJ/mol of atoms
- Mass density: 13.352 g/cm3
- E_form: 0.060 eV/atom

Lattice parameters (Å, degrees): 5.537 5.537 5.537 60.00 60.00 60.00
Sites, in units of the cell vectors:
Au1 0.625 0.625 0.625
Au2 0.124 0.625 0.625
Ga1 0.250 0.250 0.250
Ag1 0.000 0.000 0.000
Au3 0.625 0.124 0.625
Au4 0.625 0.625 0.124

---

No. 7
Entry from Alexandria: a geometry-optimized Ga2AgAu structure (PBE).

Computed properties:
- Distance to the lowest polymorph of the same formula: 23.3 kJ/mol of atoms
- Mass density: 6.844 g/cm3
- E_form: 0.178 eV/atom

Lattice parameters (Å, degrees): 4.364 4.364 7.006 71.85 71.85 60.00
Sites, in units of the cell vectors:
Au1 0.500 0.500 0.500
Ga1 0.130 0.130 0.610
Ag1 0.000 0.000 0.000
Ga2 0.870 0.870 0.390

---

No. 8
Entry from Alexandria: a geometry-optimized GaAg12Au7 structure (PBE).

Computed properties:
- Mass density: 12.197 g/cm3
- E_form: 0.006 eV/atom

Lattice parameters (Å, degrees): 7.606 7.606 7.606 106.28 106.28 106.28
Sites, in units of the cell vectors:
Ag1 0.421 0.035 0.313
Ag2 0.035 0.313 0.421
Ga1 0.000 0.000 0.000
Au1 0.914 0.319 0.021
Au2 0.319 0.021 0.914
Ag3 0.965 0.687 0.579
Ag4 0.635 0.770 0.336
Ag5 0.687 0.579 0.965
Ag6 0.313 0.421 0.035
Ag7 0.365 0.230 0.664
Ag8 0.664 0.365 0.230
Au3 0.681 0.979 0.086
Au4 0.086 0.681 0.979
Ag9 0.770 0.336 0.635
Au5 0.021 0.914 0.319
Au6 0.500 0.500 0.500
Au7 0.979 0.086 0.681
Ag10 0.230 0.664 0.365
Ag11 0.336 0.635 0.770
Ag12 0.579 0.965 0.687